Crystalline Pm3Sn2Pd9 at its relaxed geometry. Source: the Alexandria database, functional PBE-GGA.

Output
energy: -78.56 eV/cell
space-group type: Immm, No. 71
DFT formation energy: -9.6 eV/f.u.
calculated volume: 19.887 Å³/atom

Cell and atoms, written as extended XYZ:
```
14
Lattice="-1.949 5.608 6.368 1.949 -5.608 6.368 1.949 5.608 -6.368" Properties=species:S:1:pos:R:3 pbc="T T T"
Pm 0.000 0.000 0.000
Pm 0.000 0.000 3.718
Pm 0.000 0.000 9.017
Sn 1.949 3.514 0.000
Sn 0.000 2.093 6.368
Pd 1.949 -1.360 1.719
Pd 1.949 -2.267 4.322
Pd 1.949 1.360 1.719
Pd 0.000 3.341 2.046
Pd 0.000 5.608 0.000
Pd 1.949 2.267 4.322
Pd 0.000 4.247 4.649
Pd 0.000 7.874 2.046
Pd 0.000 6.968 4.649
```

---

Crystalline CeDyMnCo at its relaxed geometry. Source: the Alexandria database, functional PBE-GGA.

Output
energy: -26.48 eV/cell
space-group type: F-43m, No. 216
DFT formation energy: 0.3 eV/f.u.
calculated volume: 19.942 Å³/atom

Cell and atoms, written as extended XYZ:
```
4
Lattice="0.000 3.417 3.417 3.417 0.000 3.417 3.417 3.417 0.000" Properties=species:S:1:pos:R:3 pbc="T T T"
Ce 0.000 0.000 0.000
Dy 3.417 3.417 3.417
Mn 1.708 1.708 1.708
Co 5.125 5.125 5.125
```

---

Crystalline SiBiSN2 at its relaxed geometry. Source: the Alexandria database, functional PBE-GGA.

Output
uncorrected formation energy: 1.718 eV/atom
energy: -21.49 eV/cell
ΔE to the lowest computed polymorph: 1.232 eV/atom
space-group type: P4/mmm, No. 123
calculated volume: 19.871 Å³/atom

Cell and atoms, written as extended XYZ:
```
5
Lattice="4.263 0.000 0.000 0.000 4.263 0.000 0.000 0.000 5.466" Properties=species:S:1:pos:R:3 pbc="T T T"
Si 0.000 0.000 0.000
Bi 2.132 2.132 2.733
S 2.132 2.132 0.000
N 0.000 2.132 2.733
N 2.132 0.000 2.733
```

---

Crystalline Mo2PRu at its relaxed geometry. Source: the Alexandria database, functional PBE-GGA.

Output
energy: -36.66 eV/cell
space-group type: P2/m, No. 10
DFT formation energy: -0.3 eV/f.u.
calculated volume: 14.363 Å³/atom

Cell and atoms, written as extended XYZ:
```
4
Lattice="2.823 0.000 0.000 0.000 4.026 0.000 -0.684 0.000 5.055" Properties=species:S:1:pos:R:3 pbc="T T T"
Mo -0.007 0.000 1.318
Mo 2.146 0.000 3.737
P 1.070 2.013 2.527
Ru 1.412 2.013 0.000
```

---

The lowest energy belongs to which entry? Pm3Sn2Pd9